(1)
DFT (GGA-PBE) results for a relaxed Ga2CoSnHg crystal.

Mass density in g/cm³: 8.05
Total moment in Bohr magnetons per cell: 0.0
Formation energy in eV per atom: -0.06

Cell lengths 4.641, 4.641, 4.960 Å; angles 90.00, 90.00, 90.00 degrees
Space group P4/mmm (No. 123)
Symmetry-distinct sites (fractional):
Ga (0.000, 0.500, 0.000) (multiplicity 2)
Co (0.000, 0.000, 0.000) (multiplicity 1)
Sn (0.000, 0.000, 0.500) (multiplicity 1)
Hg (0.500, 0.500, 0.500) (multiplicity 1)

***

(2)
DFT (GGA-PBE) results for a relaxed K4Ce3AlS8 crystal.

Mass density in g/cm³: 3.35
Total moment in Bohr magnetons per cell: 8.3
ΔE_f (raw) in eV/atom: -1.571

Cell lengths 8.1974, 8.1974, 22.0000 Å; angles 90.00, 90.00, 120.00 degrees
Space group R-3m (No. 166, hexagonal axes)
Symmetry-distinct sites (fractional):
K (0.0000, 0.0000, 0.0000) (multiplicity 3)
K (0.0000, 0.5000, 0.0000) (multiplicity 9)
Ce (0.0000, 0.5000, 0.5000) (multiplicity 9)
Al (0.0000, 0.0000, 0.5000) (multiplicity 3)
S (0.0000, 0.0000, 0.2370) (multiplicity 6)
S (0.0267, 0.5134, 0.2310) (multiplicity 18)

***

(3)
DFT (GGA-PBE) results for a relaxed NaPa2F11 crystal.

Mass density in g/cm³: 4.55
Total moment in Bohr magnetons per cell: 0.0
ΔE_f (raw) in eV/atom: -3.682

Cell lengths 8.649, 10.502, 11.160 Å; angles 90.00, 90.00, 90.00 degrees
Space group Ibam (No. 72)
Symmetry-distinct sites (fractional):
Na (0.000, 0.000, 0.250) (multiplicity 4)
Pa (0.141, 0.314, 0.000) (multiplicity 8)
F (0.000, 0.500, 0.000) (multiplicity 4)
F (0.091, 0.181, 0.135) (multiplicity 16)
F (0.132, 0.285, 0.500) (multiplicity 8)
F (0.249, 0.081, 0.366) (multiplicity 16)

***

(4)
DFT (GGA-PBE) results for a relaxed HfTiNbW crystal.

Mass density in g/cm³: 11.54
Total moment in Bohr magnetons per cell: 3.4
Formation energy in eV per atom: 0.06

Cell lengths 6.616, 6.616, 6.616 Å; angles 90.00, 90.00, 90.00 degrees
Space group F-43m (No. 216)
Symmetry-distinct sites (fractional):
Hf (0.000, 0.000, 0.000) (multiplicity 4)
Ti (0.250, 0.250, 0.250) (multiplicity 4)
Nb (0.000, 0.000, 0.500) (multiplicity 4)
W (0.250, 0.250, 0.750) (multiplicity 4)

***

(5)
DFT (GGA-PBE) results for a relaxed InRe2Hg crystal.

Mass density in g/cm³: 15.52
Total moment in Bohr magnetons per cell: 0.0
Polymorph energy (0 for the lowest one) in meV per atom: 508.5
Formation energy in eV per atom: 0.80

Cell lengths 3.062, 4.877, 4.928 Å; angles 90.00, 90.78, 90.00 degrees
Space group P2/m (No. 10)
Symmetry-distinct sites (fractional):
In (0.000, 0.000, 0.000) (multiplicity 1)
Re (0.324, 0.500, 0.224) (multiplicity 2)
Hg (0.500, 0.000, 0.500) (multiplicity 1)

***

(6)
DFT (GGA-PBE) results for a relaxed ZrCu3Te crystal.

Mass density in g/cm³: 6.35
Total moment in Bohr magnetons per cell: 0.0
Polymorph energy (0 for the lowest one) in meV per atom: 0.0
ΔE_f (raw) in eV/atom: 0.850

Cell lengths 4.749, 4.749, 4.749 Å; angles 90.00, 90.00, 90.00 degrees
Space group Pm-3m (No. 221)
Symmetry-distinct sites (fractional):
Zr (0.000, 0.000, 0.000) (multiplicity 1)
Cu (0.000, 0.500, 0.500) (multiplicity 3)
Te (0.500, 0.500, 0.500) (multiplicity 1)

***

It is found that the total energy values, taken in the order of the records, are -3.552; -5.255; -6.603; -10.161; -6.180; -3.946 eV per atom.